This record from Alexandria describes a relaxed structure of HoThHgAu. The functional is PBE.

Cell and atoms, written as extended XYZ:
```
4
Lattice="-0.9056 -4.9498 -1.5334 1.4778 -1.5802 -4.7949 4.0102 -3.3610 -0.5419" Properties=species:S:1:pos:R:3 pbc="T T T"
Ho 3.4369 -7.4183 -5.1527
Th 1.1456 -2.4728 -1.7176
Hg 2.2913 -4.9456 -3.4351
Au 0.0000 0.0000 0.0000
```

Calculated values
Theoretical density ... 12.82 g/cm3
N(E_F) ... 4.1 states/eV per cell
DFT formation energy ... -480 meV per atom
Calculated volume ... 102.9 Å³ per cell
E above lowest polymorph ... 0.052 eV/atom